(1)
This record from Alexandria describes crystalline ScNi2 at its relaxed geometry. The functional is PBE.

a = 5.7534 Å, b = 5.7534 Å, c = 5.7534 Å
α = 144.42°, β = 126.63°, γ = 65.80°
Last column: nearest neighbours and their distance in Å.
Element x y z (fractional)
Sc: 0.6778 0.6778 0.0000  8 Ni 2.64-2.79
Sc: 0.3222 0.3222 0.0000  8 Ni 2.64-2.79
Ni: 0.7570 0.0000 0.7570  6 Ni 2.45-2.66
Ni: 0.2430 0.0000 0.2430  6 Ni 2.45-2.66
Ni: 0.1190 0.6190 0.5000  5 Ni 2.30-2.45
Ni: 0.8810 0.3810 0.5000  5 Ni 2.30-2.45

Output
N(E_F) in states/eV/cell: 4.83
Space-group type: Immm
Calculated volume in Å³/f.u.: 44
M_tot in μB per formula unit: 0.00
ΔE_f in eV/atom: -0.34

***

(2)
This record from Alexandria describes crystalline Sc3Ni at its relaxed geometry. The functional is PBE.

a = 5.4106 Å, b = 5.4106 Å, c = 5.4106 Å
α = 90.00°, β = 90.00°, γ = 90.00°
Last column: nearest neighbours and their distance in Å.
Element x y z (fractional)
Ni: 0.0000 0.0000 0.0000  12 Sc 3.02
Ni: 0.5000 0.5000 0.5000  12 Sc 3.02
Sc: 0.0000 0.7500 0.5000  2 Sc 2.71, 4 Ni 3.02
Sc: 0.2500 0.5000 0.0000  2 Sc 2.71, 4 Ni 3.02
Sc: 0.5000 0.0000 0.7500  2 Sc 2.71, 4 Ni 3.02
Sc: 0.7500 0.5000 0.0000  2 Sc 2.71, 4 Ni 3.02
Sc: 0.5000 0.0000 0.2500  2 Sc 2.71, 4 Ni 3.02
Sc: 0.0000 0.2500 0.5000  2 Sc 2.71, 4 Ni 3.02

Output
N(E_F) in states/eV/cell: 14.17
Space-group type: Pm-3n
Calculated volume in Å³/f.u.: 79
M_tot in μB per formula unit: 0.00
ΔE_f in eV/atom: 0.01